# 1
Tm5NiTe2 | PBE | relaxed

Computed properties:
Electronic total energy ... -4.7288 eV per atom
Uncorrected formation energy ... -41 kJ per mole of atoms
V ... 1073.2 Å³/cell
Total moment ... 0.00 μB per atom

Cell lengths 4.9796, 16.1509, 13.3442 Å; angles 90.00, 90.00, 90.00 degrees
With the nearest neighbours (Å) after each atom.
Space group Cmcm (No. 63)
Asymmetric unit:
1 Tm 0.0000 0.1013 0.1134 [8 per cell]  1 Ni 2.63
2 Tm 0.0000 0.2609 0.7500 [4 per cell]  2 Ni 2.51
3 Tm 0.0000 0.3093 0.0731 [8 per cell]  1 Ni 2.78, 2 Te 3.06
4 Ni 0.0000 0.2189 0.2500 [4 per cell]  6 Tm 2.51-2.78
5 Te 0.0000 0.0867 0.6158 [8 per cell]  5 Tm 3.04-3.34

# 2
Tm8NiTe2 | PBE | relaxed

Computed properties:
Electronic total energy ... -4.7344 eV per atom
Uncorrected formation energy ... -37 kJ per mole of atoms
V ... 632.3 Å³/cell
Total moment ... 0.00 μB per atom

Cell lengths 12.6655, 7.2000, 7.0783 Å; angles 90.00, 101.58, 90.00 degrees
With the nearest neighbours (Å) after each atom.
Space group C2/m (No. 12)
Asymmetric unit:
1 Tm 0.0506 0.0000 0.2728 [4 per cell]  1 Te 2.96
2 Tm 0.0955 0.5000 0.2095 [4 per cell]  1 Ni 2.59
3 Tm 0.1619 0.2659 0.6532 [8 per cell]  1 Ni 2.71
4 Ni 0.0000 0.5000 0.5000 [2 per cell]  6 Tm 2.59-2.71
5 Te 0.2017 0.0000 0.0036 [4 per cell]  6 Tm 2.96-3.23